Entry 1:
Below is a relaxed CaFe2Co crystal, with properties calculated at the GGA-PBEsol level.

Values from the calculation:
spin magnetization: 12.67 Bohr magnetons per cell
density: 6.06 Mg/m³
raw total energy: -6.4620 eV/atom
ΔH_f (0 K): 0.49 eV per atom

a b c (Å): 2.824 4.498 9.093
angles (deg): 90.00 90.00 90.00
Space group Immm (No. 71)
Symmetry-distinct sites (fractional):
Ca: 0.000 0.000 0.000 x2
Fe: 0.000 0.500 0.217 x4
Co: 0.000 0.000 0.500 x2

---

Entry 2:
Below is a relaxed Ca2FeCo crystal, with properties calculated at the GGA-PBEsol level.

Values from the calculation:
spin magnetization: 6.89 Bohr magnetons per cell
density: 4.07 Mg/m³
raw total energy: -4.5518 eV/atom
ΔH_f (0 K): 0.69 eV per atom

a b c (Å): 4.757 4.757 7.033
angles (deg): 90.00 90.00 90.00
Space group I4/mmm (No. 139)
Symmetry-distinct sites (fractional):
Ca: 0.000 0.500 0.250 x4
Fe: 0.000 0.000 0.000 x2
Co: 0.000 0.000 0.500 x2

---

Entry 3:
Below is a relaxed CaFe2Co crystal, with properties calculated at the GGA-PBEsol level.

Values from the calculation:
spin magnetization: 6.15 Bohr magnetons per cell
density: 5.82 Mg/m³
raw total energy: -6.5690 eV/atom
ΔH_f (0 K): 0.38 eV per atom

a b c (Å): 3.043 3.043 6.496
angles (deg): 90.00 90.00 90.00
Space group P4mm (No. 99)
Symmetry-distinct sites (fractional):
Ca: 0.000 0.000 0.000 x1
Fe: 0.000 0.000 0.491 x1
Fe: 0.500 0.500 0.668 x1
Co: 0.500 0.500 0.317 x1

---

Entry 4:
Below is a relaxed Ca2FeCo crystal, with properties calculated at the GGA-PBEsol level.

Values from the calculation:
spin magnetization: 3.78 Bohr magnetons per cell
density: 3.74 Mg/m³
raw total energy: -4.9410 eV/atom
ΔH_f (0 K): 0.30 eV per atom

a b c (Å): 3.245 3.245 8.211
angles (deg): 90.00 90.00 90.00
Space group P4mm (No. 99)
Symmetry-distinct sites (fractional):
Ca: 0.000 0.000 0.000 x1
Ca: 0.500 0.500 0.403 x1
Fe: 0.500 0.500 0.742 x1
Co: 0.000 0.000 0.661 x1

---

Entry 5:
Below is a relaxed CaFeCo crystal, with properties calculated at the GGA-PBEsol level.

Values from the calculation:
spin magnetization: 6.55 Bohr magnetons per cell
density: 5.14 Mg/m³
raw total energy: -5.9384 eV/atom
ΔH_f (0 K): 0.34 eV per atom

a b c (Å): 3.133 3.133 10.202
angles (deg): 90.00 90.00 90.00
Space group I4mm (No. 107)
Symmetry-distinct sites (fractional):
Ca: 0.000 0.000 0.000 x2
Fe: 0.000 0.000 0.719 x2
Co: 0.000 0.000 0.282 x2

---

Entry 6:
Below is a relaxed Ca2FeCoMo crystal, with properties calculated at the GGA-PBEsol level.

Values from the calculation:
spin magnetization: 5.90 Bohr magnetons per cell
density: 4.37 Mg/m³
raw total energy: -5.1972 eV/atom
ΔH_f (0 K): 1.35 eV per atom

a b c (Å): 5.219 5.219 4.055
angles (deg): 90.00 90.00 90.00
Space group P4/mmm (No. 123)
Symmetry-distinct sites (fractional):
Ca: 0.000 0.500 0.000 x2
Fe: 0.000 0.000 0.000 x1
Co: 0.000 0.000 0.500 x1
Mo: 0.500 0.500 0.500 x1